[1]
Material: BaB3Br
Method: DFT, GGA-PBEsol
State: relaxed

Output
Density of states at the Fermi level ... 6.17 states/eV/cell
Uncorrected formation energy ... 2.7970 eV per atom
Total moment ... 0.92 μB/cell

a b c (Å): 5.2150 5.2150 5.2150
angles (deg): 90.00 90.00 90.00
Closest atoms and distances in Å follow each position.
Positions (direct):
B 0.0000 0.0000 0.5000  2 Ba 2.61
B 0.0000 0.5000 0.0000  2 Ba 2.61
B 0.5000 0.0000 0.0000  2 Ba 2.61
Br 0.5000 0.5000 0.5000  12 B 3.69
Ba 0.0000 0.0000 0.0000  6 B 2.61


[2]
Material: Ca2LaMnPt
Method: DFT, GGA-PBEsol
State: relaxed

Output
Final energy ... -5.200 eV per atom
Density of states at the Fermi level ... 3.91 states/eV/cell
Total moment ... 4.39 μB/cell

a b c (Å): 5.4625 5.5006 5.5006
angles (deg): 90.00 90.00 90.00
Closest atoms and distances in Å follow each position.
Positions (direct):
Ca 0.0000 0.5000 0.0000  2 Pt 2.75
Ca 0.0000 0.0000 0.5000  2 Pt 2.75
Pt 0.0000 0.0000 0.0000  2 La 2.73, 4 Ca 2.75
La 0.5000 0.0000 0.0000  2 Pt 2.73
Mn 0.5000 0.5000 0.5000  8 Ca 3.88, 4 La 3.89


[3]
Material: GePtI3
Method: DFT, GGA-PBEsol
State: relaxed

Output
Density of states at the Fermi level ... 10.11 states/eV/cell
Uncorrected formation energy ... 0.9069 eV per atom
Total moment ... 0.98 μB/cell

a b c (Å): 5.4817 5.4817 5.4817
angles (deg): 90.00 90.00 90.00
Closest atoms and distances in Å follow each position.
Positions (direct):
Ge 0.0000 0.0000 0.0000  6 I 2.74
I 0.0000 0.0000 0.5000  2 Ge 2.74
I 0.5000 0.0000 0.0000  2 Ge 2.74
Pt 0.5000 0.5000 0.5000  12 I 3.88
I 0.0000 0.5000 0.0000  2 Ge 2.74


[4]
Material: LaSbCl2
Method: DFT, GGA-PBEsol
State: relaxed

Output
Density of states at the Fermi level ... 0.55 states/eV/cell
Uncorrected formation energy ... -1.2757 eV per atom
Total moment ... 0.00 μB/cell

a b c (Å): 4.4328 4.4328 5.5661
angles (deg): 90.00 90.00 90.00
Closest atoms and distances in Å follow each position.
Positions (direct):
Cl 0.0000 0.0000 0.0251  2 La 2.76-2.80
Cl 0.5000 0.5000 0.2413  1 Sb 2.58
Sb 0.5000 0.5000 0.7051  1 Cl 2.58
La 0.0000 0.0000 0.5285  2 Cl 2.76-2.80


[5]
Material: BaAg2PdSe
Method: DFT, GGA-PBEsol
State: relaxed

Output
Density of states at the Fermi level ... 1.90 states/eV/cell
Uncorrected formation energy ... -0.3209 eV per atom
Total moment ... 0.00 μB/cell

a b c (Å): 4.9447 5.0511 5.0511
angles (deg): 90.00 90.00 90.00
Closest atoms and distances in Å follow each position.
Positions (direct):
Ag 0.0000 0.5000 0.0000  2 Pd 2.53
Ag 0.0000 0.0000 0.5000  2 Pd 2.53
Ba 0.5000 0.5000 0.5000  8 Ag 3.53, 4 Se 3.57
Se 0.5000 0.0000 0.0000  2 Pd 2.47
Pd 0.0000 0.0000 0.0000  2 Se 2.47, 4 Ag 2.53


[6]
Material: BePtSe
Method: DFT, GGA-PBEsol
State: relaxed

Output
Density of states at the Fermi level ... 1.20 states/eV/cell
Uncorrected formation energy ... -0.0822 eV per atom
Total moment ... 0.00 μB/cell

a b c (Å): 2.8706 2.8706 6.0788
angles (deg): 90.00 90.00 120.00
Closest atoms and distances in Å follow each position.
Positions (direct):
Pt 0.3333 0.6667 0.7270  3 Be 2.30
Se 0.6667 0.3333 0.2842  3 Be 2.44
Be 0.0000 0.0000 0.9888  3 Pt 2.30, 3 Se 2.44


[7]
Material: CaZrCr
Method: DFT, GGA-PBEsol
State: relaxed

Output
Final energy ... -6.402 eV per atom
Density of states at the Fermi level ... 4.13 states/eV/cell
Total moment ... 0.00 μB/cell

a b c (Å): 3.2819 3.2819 6.9755
angles (deg): 90.00 90.00 120.00
Closest atoms and distances in Å follow each position.
Positions (direct):
Zr 0.6667 0.3333 0.3972  3 Cr 2.53
Ca 0.0000 0.0000 0.9658  3 Cr 2.97, 6 Ca 3.28
Cr 0.3333 0.6667 0.6370  3 Zr 2.53


[8]
Material: NiPt2Rh
Method: DFT, GGA-PBEsol
State: relaxed

Output
Final energy ... -7.086 eV per atom
Density of states at the Fermi level ... 7.05 states/eV/cell
Total moment ... 1.12 μB/cell

a b c (Å): 2.7001 3.7489 5.3607
angles (deg): 90.00 90.00 90.00
Closest atoms and distances in Å follow each position.
Positions (direct):
Rh 0.5000 0.5000 0.0000  2 Ni 2.68, 8 Pt 2.68, 2 Rh 2.70
Pt 0.0000 0.0000 0.7451  4 Pt 2.63-2.73, 4 Ni 2.66, 4 Rh 2.68
Pt 0.0000 0.0000 0.2549  4 Pt 2.63-2.73, 4 Ni 2.66, 4 Rh 2.68
Ni 0.5000 0.5000 0.5000  8 Pt 2.66, 2 Rh 2.68, 2 Ni 2.70


[9]
Material: CdInSe
Method: DFT, GGA-PBEsol
State: relaxed

Output
Density of states at the Fermi level ... 1.01 states/eV/cell
Uncorrected formation energy ... -0.1049 eV per atom
Total moment ... 0.00 μB/cell

a b c (Å): 3.5642 3.5642 5.9541
angles (deg): 107.42 107.42 90.00
Closest atoms and distances in Å follow each position.
Positions (direct):
In 0.3193 0.3193 0.6386  4 Se 3.01, 5 Cd 3.28-3.29
Cd 0.0145 0.0145 0.0290  4 Se 3.01, 5 In 3.28-3.29
Se 0.6662 0.6662 0.3324  4 Cd 3.01, 4 In 3.01


[10]
Material: CrInW2
Method: DFT, GGA-PBEsol
State: relaxed

Output
Final energy ... -9.740 eV per atom
Density of states at the Fermi level ... 3.32 states/eV/cell
Total moment ... 0.00 μB/cell

a b c (Å): 3.1953 4.4758 5.1410
angles (deg): 115.80 108.11 90.00
Closest atoms and distances in Å follow each position.
Positions (direct):
In 0.2398 0.7398 0.4796  2 Cr 2.73, 8 W 2.76-2.98
W 0.7617 0.2617 0.5233  2 Cr 2.52, 2 W 2.69, 4 In 2.76
Cr 0.4854 0.4854 0.9707  6 W 2.52-2.76, 2 In 2.73
W 0.0132 0.0132 0.0264  2 W 2.69, 4 Cr 2.76, 4 In 2.86-2.98


[11]
Material: Zn2AgPd2
Method: DFT, GGA-PBEsol
State: relaxed

Output
Final energy ... -3.752 eV per atom
Density of states at the Fermi level ... 2.03 states/eV/cell
Total moment ... 0.00 μB/cell

a b c (Å): 3.5756 3.5756 6.6944
angles (deg): 105.49 105.49 90.00
Closest atoms and distances in Å follow each position.
Positions (direct):
Pd 0.6061 0.6061 0.2122  4 Zn 2.53, 1 Pd 2.63
Zn 0.7500 0.2500 0.5000  4 Pd 2.53, 4 Zn 2.53
Zn 0.2500 0.7500 0.5000  4 Pd 2.53, 4 Zn 2.53
Pd 0.3939 0.3939 0.7878  4 Zn 2.53, 1 Pd 2.63
Ag 0.0000 0.0000 0.0000  8 Pd 2.85


[12]
Material: ZrIn2Sb
Method: DFT, GGA-PBEsol
State: relaxed

Output
Density of states at the Fermi level ... 2.13 states/eV/cell
Uncorrected formation energy ... -0.1937 eV per atom
Total moment ... 0.00 μB/cell

a b c (Å): 3.1871 5.4875 5.5426
angles (deg): 96.20 106.71 90.00
Closest atoms and distances in Å follow each position.
Positions (direct):
In 0.0075 0.9913 0.0149  5 In 3.01-3.23, 4 Sb 3.07-3.29, 3 Zr 3.27-3.28
In 0.2548 0.7730 0.5096  5 In 3.01-3.23, 1 Sb 3.15, 4 Zr 3.17-3.18
Sb 0.4872 0.4641 0.9744  3 Zr 3.06-3.10, 5 In 3.07-3.29, 2 Sb 3.19
Zr 0.7505 0.2716 0.5010  3 Sb 3.06-3.10, 7 In 3.17-3.28, 2 Zr 3.19


[13]
Material: ScTcPt2
Method: DFT, GGA-PBEsol
State: relaxed

Output
Density of states at the Fermi level ... 3.90 states/eV/cell
Total moment ... 0.52 μB/cell
Relative energy among the computed polymorphs ... 0.873 eV per formula unit

a b c (Å): 3.3878 3.3878 5.5244
angles (deg): 90.00 90.00 90.00
Closest atoms and distances in Å follow each position.
Positions (direct):
Pt 0.0000 0.0000 0.7387  2 Pt 2.64-2.89, 4 Tc 2.73, 4 Sc 2.80
Sc 0.5000 0.5000 0.0000  2 Tc 2.76, 8 Pt 2.80
Tc 0.5000 0.5000 0.5000  8 Pt 2.73, 2 Sc 2.76
Pt 0.0000 0.0000 0.2613  2 Pt 2.64-2.89, 4 Tc 2.73, 4 Sc 2.80


[14]
Material: Be2NiRu
Method: DFT, GGA-PBEsol
State: relaxed

Output
Final energy ... -6.413 eV per atom
Density of states at the Fermi level ... 3.20 states/eV/cell
Total moment ... 0.00 μB/cell

a b c (Å): 3.7836 3.7836 3.7836
angles (deg): 60.00 60.00 60.00
Closest atoms and distances in Å follow each position.
Positions (direct):
Ru 0.5000 0.5000 0.5000  8 Be 2.32
Ni 0.0000 0.0000 0.0000  8 Be 2.32
Be 0.2500 0.2500 0.2500  4 Ru 2.32, 4 Ni 2.32
Be 0.7500 0.7500 0.7500  4 Ru 2.32, 4 Ni 2.32